(1)
CaHN | PBE-GGA | optimized geometry

Values from the calculation:
Excess energy over the best structure of this formula in the dataset ... 0.000 eV/atom

POSCAR file:
```
CaHN
1.0
5.0958 0.0000 0.0000
0.0000 4.8483 0.0000
0.0000 0.0000 6.1212
Ca H N
4 4 4
Cartesian
1.2448 1.2121 0.4175
1.3031 3.6362 3.4780
3.7927 1.2121 2.6431
3.8510 3.6362 5.7037
1.1161 1.2121 3.7558
1.4318 3.6362 0.6952
3.6640 1.2121 5.4259
3.9797 3.6362 2.3654
1.2629 1.2121 2.7250
1.2850 3.6362 5.7856
3.8108 1.2121 0.3356
3.8328 3.6362 3.3962
```

---

(2)
Ca8HN3 | PBE-GGA | optimized geometry

Values from the calculation:
Calculated total energy ... -0.158 Ha/atom

POSCAR file:
```
Ca8HN3
1.0
7.2790 0.0000 0.0000
-3.6395 6.3038 0.0000
0.0000 0.0000 12.5516
Ca H N
16 2 6
Cartesian
0.0000 0.0000 0.0000
0.0000 0.0000 6.2758
-1.6952 3.2238 0.0479
0.0000 1.9808 3.6558
-1.9241 5.3134 3.6558
1.7155 0.9904 9.9316
0.0000 4.2026 9.9470
1.6952 3.2238 0.0479
0.0000 6.1600 0.0479
3.6395 0.1438 6.3237
1.9443 3.0800 6.3237
3.6395 2.1013 3.6712
1.9241 5.3134 3.6558
5.5636 0.9904 9.9316
3.6395 4.3230 9.9316
5.3347 3.0800 6.3237
0.0000 4.2026 1.4421
3.6395 2.1013 7.7179
0.0000 2.0916 11.2549
-1.8281 5.2580 11.2549
1.8114 1.0458 4.9791
1.8281 5.2580 11.2549
5.4676 1.0458 4.9791
3.6395 4.2122 4.9791
```

---

(3)
CaH6N4 | PBE-GGA | optimized geometry

Values from the calculation:
Calculated total energy ... -0.151 Ha/atom

POSCAR file:
```
CaH6N4
1.0
-2.5558 2.5558 3.1756
2.5558 -2.5558 3.1756
2.5558 2.5558 -3.1756
Ca H N
1 6 4
Cartesian
0.0000 0.0000 0.0000
2.5558 0.0000 0.0000
1.0413 -1.0413 1.9577
1.5145 1.5145 1.2179
0.0000 2.5558 0.0000
-1.0413 1.0413 1.9577
1.0413 1.0413 4.3935
1.4474 1.4474 -1.0735
1.1084 -1.1084 4.2491
1.1084 1.1084 2.1021
-1.1084 1.1084 4.2491
```

---

(4)
Ca4H3N2 | PBE-GGA | optimized geometry

Values from the calculation:
Calculated total energy ... -0.162 Ha/atom

POSCAR file:
```
Ca4H3N2
1.0
5.1409 -5.1683 0.0000
5.1409 5.1683 0.0000
-0.0954 0.0000 5.0033
Ca H N
8 6 4
Cartesian
1.1464 1.1518 0.0389
9.0400 -1.1518 4.9643
1.0987 -1.1518 2.5406
3.6802 1.4464 2.5335
6.4585 1.4464 4.9713
3.7279 -1.4464 0.0319
9.0877 1.1518 2.4627
6.5062 -1.4464 2.4697
5.0694 2.5914 3.7524
3.8614 1.0417 0.1415
3.8137 -1.0417 2.6431
6.3728 1.0417 2.3602
6.3251 -1.0417 4.8618
5.1171 -2.5914 1.2508
1.3267 1.3073 2.6078
1.3745 -1.3073 0.1061
8.8120 1.3073 4.8971
8.8597 -1.3073 2.3955
```

---

(5)
CaHN3 | PBE-GGA | optimized geometry

Values from the calculation:
Calculated total energy ... -0.167 Ha/atom

POSCAR file:
```
CaHN3
1.0
3.4970 0.0000 0.0000
0.0000 3.4970 0.0000
0.0000 0.0000 3.4970
Ca H N
1 1 3
Cartesian
0.0000 0.0000 0.0000
1.7485 1.7485 1.7485
0.0000 1.7485 1.7485
1.7485 0.0000 1.7485
1.7485 1.7485 0.0000
```

---

(6)
CaH2N | PBE-GGA | optimized geometry

Values from the calculation:
Excess energy over the best structure of this formula in the dataset ... 0.733 eV/atom

POSCAR file:
```
CaH2N
1.0
-1.7429 1.7429 6.1295
1.7429 -1.7429 6.1295
1.7429 1.7429 -6.1295
Ca H N
2 4 2
Cartesian
1.7429 0.8714 1.5324
0.0000 0.8714 4.5971
0.0000 0.0000 0.0000
0.8714 0.8714 -3.0647
0.8714 -0.8714 3.0647
0.0000 1.7429 0.0000
1.7429 -0.8714 4.5971
0.0000 2.6143 1.5324
```